Computed, not measured: crystalline ErTe2MoO8 at its relaxed geometry at the PBE+U level of DFT.

Cell lengths 6.4104, 6.4104, 5.8543 Å; angles 90.00, 90.00, 120.00 degrees
Sites, in units of the cell vectors:
Er1 0.0000 0.0000 0.5000
Mo1 0.0000 0.0000 0.0000
O1 0.2805 0.1404 0.2172
O2 0.1404 0.8599 0.7828
O3 0.1401 0.2805 0.7828
O4 0.7195 0.8596 0.7828
O5 0.8596 0.1401 0.2172
O6 0.6667 0.3333 0.8809
O7 0.3333 0.6667 0.1191
O8 0.8599 0.7195 0.2172
Te1 0.3333 0.6667 0.8103
Te2 0.6667 0.3333 0.1897

Crystal system: trigonal
VASP energy, eV/atom: -6.31
Space group: P-3m1 (164)